TbHoSiRh | PBE | relaxed

Structure (extended XYZ):
```
4
Lattice="4.0249 0.0000 0.0000 0.0000 2.0659 5.2517 0.0000 -2.0659 5.2517" Properties=species:S:1:pos:R:3 pbc="T T T"
Tb 0.0000 0.0000 0.0000
Ho 2.0124 0.0000 2.9617
Si 2.0124 0.0000 6.0259
Rh 0.0000 0.0000 7.5484
```

Output
Uncorrected formation energy = -0.85 eV per atom

---

SrPrAlZn | PBE | relaxed

Structure (extended XYZ):
```
4
Lattice="0.0000 3.8381 3.8381 3.8381 0.0000 3.8381 3.8381 3.8381 0.0000" Properties=species:S:1:pos:R:3 pbc="T T T"
Sr 0.0000 0.0000 0.0000
Pr 3.8381 3.8381 3.8381
Al 1.9190 1.9190 1.9190
Zn 5.7571 5.7571 5.7571
```

---

DyTm2Fe | PBE | relaxed

Structure (extended XYZ):
```
4
Lattice="1.7423 1.0059 9.7383 -1.7423 1.0059 9.7383 0.0000 -2.0119 9.7383" Properties=species:S:1:pos:R:3 pbc="T T T"
Dy 0.0000 0.0000 0.0000
Tm 0.0000 0.0000 6.7022
Tm 0.0000 0.0000 22.5127
Fe 0.0000 0.0000 14.6074
```

Output
Relative energy among the computed polymorphs = 21.7 kJ/mol of atoms

---

Cu5GeTe2Se4 | PBE | relaxed

Structure (extended XYZ):
```
12
Lattice="7.6020 0.0000 0.0000 0.0000 5.7674 2.9259 0.0000 -5.7674 2.9259" Properties=species:S:1:pos:R:3 pbc="T T T"
Cu 0.0000 0.0000 0.0000
Cu 2.0220 -2.2413 2.5961
Cu 2.0220 2.2413 2.5961
Cu 5.5800 -2.2413 2.5961
Cu 5.5800 2.2413 2.5961
Ge 3.8010 0.0000 0.1356
Te 0.0000 -2.0853 4.3646
Te 0.0000 2.0853 4.3646
Se 1.8604 0.0000 1.5682
Se 3.8010 -2.0076 4.5512
Se 3.8010 2.0076 4.5512
Se 5.7416 0.0000 1.5682
```

Output
Uncorrected formation energy = -0.10 eV per atom

---

K2LiMoBr6 | PBE | relaxed

Structure (extended XYZ):
```
20
Lattice="3.7559 2.1685 12.7576 -3.7559 2.1685 12.7576 0.0000 -4.3369 12.7576" Properties=species:S:1:pos:R:3 pbc="T T T"
K 0.0000 0.0000 4.7667
K 0.0000 0.0000 11.5353
K 0.0000 0.0000 26.7375
K 0.0000 0.0000 33.5061
Li 0.0000 0.0000 15.9864
Li 0.0000 0.0000 22.2864
Mo 0.0000 0.0000 0.0000
Mo 0.0000 0.0000 19.1364
Br -1.8327 -1.0581 17.6027
Br 0.0000 -2.2182 14.2865
Br -1.9210 1.1091 14.2865
Br -1.9210 -1.1091 23.9863
Br 0.0000 -2.1162 20.6702
Br -1.8327 1.0581 20.6702
Br 1.8326 -1.0581 17.6026
Br 0.0000 2.1162 17.6026
Br 1.9210 1.1091 14.2866
Br 1.9210 -1.1091 23.9863
Br 0.0000 2.2182 23.9863
Br 1.8326 1.0581 20.6702
```

Output
Uncorrected formation energy = -1.20 eV per atom
Relative energy among the computed polymorphs = 0.0 kJ/mol of atoms

---

ZnPO2F | PBE | relaxed

Structure (extended XYZ):
```
5
Lattice="3.3402 0.0000 0.0000 0.0000 3.3402 0.0000 0.0000 0.0000 6.3156" Properties=species:S:1:pos:R:3 pbc="T T T"
Zn 0.0000 0.0000 0.0000
P 1.6701 1.6701 3.1578
O 0.0000 1.6701 3.1578
O 1.6701 0.0000 3.1578
F 1.6701 1.6701 0.0000
```

Output
Uncorrected formation energy = -0.86 eV per atom

---

Number 1: electronic total energy -25.39 eV/cell. Number 2: electronic total energy -12.27 eV/cell. Number 3: electronic total energy -21.26 eV/cell. Number 4: electronic total energy -46.57 eV/cell. Number 5: electronic total energy -73.86 eV/cell. Number 6: electronic total energy -22.76 eV/cell.